No. 1
## CaMgZn (PBE)

Data for a relaxed structure of CaMgZn.

Summary:
Space-group type: No. 194
E: -10.59 eV/cell

```
CaMgZn
1.0
-0.864 -3.811 2.959
-1.218 -0.253 -4.741
6.505 -2.663 -1.530
Ca Mg Zn
2 2 2
Cartesian
0.000 0.000 0.000 Ca
3.252 -1.332 -0.765 Ca
0.526 -2.104 -2.557 Mg
3.896 -4.622 -0.755 Mg
0.644 -3.290 0.010 Zn
3.778 -3.436 -3.322 Zn
```

***

No. 2
## Ca2Mg5Zn4 (PBE)

Data for a relaxed structure of Ca2Mg5Zn4.

Summary:
Space-group type: No. 12
E: -18.48 eV/cell

```
Ca2Mg5Zn4
1.0
-1.794 -0.856 -5.581
5.008 -2.513 -4.368
-2.110 -6.624 -1.450
Ca Mg Zn
2 5 4
Cartesian
1.533 -6.723 -5.750 Ca
-0.429 -3.271 -5.649 Ca
-1.214 -6.062 -3.394 Mg
2.318 -3.931 -8.005 Mg
1.449 -4.568 -2.909 Mg
-2.112 -6.491 -6.188 Mg
3.216 -3.502 -5.211 Mg
-0.811 -3.158 -2.399 Zn
1.915 -6.835 -9.000 Zn
-0.293 -8.106 -8.095 Zn
1.397 -1.887 -3.304 Zn
```

***

No. 3
## CaMgZn (PBE)

Data for a relaxed structure of CaMgZn.

Summary:
Space-group type: No. 12
E: -20.74 eV/cell

```
CaMgZn
1.0
-1.091 -5.997 2.482
6.778 -2.675 -3.483
5.248 0.600 3.755
Mg Zn Ca
4 4 4
Cartesian
5.888 -2.040 -2.341 Mg
2.969 -3.333 1.977 Mg
6.138 -0.035 2.613 Mg
7.966 -4.739 0.778 Mg
1.039 -1.349 1.559 Zn
0.494 -4.348 2.801 Zn
3.117 -4.048 4.678 Zn
3.663 -1.050 3.437 Zn
8.087 -1.435 0.087 Ca
6.017 -3.339 3.304 Ca
3.939 -0.640 0.185 Ca
4.918 -4.734 -0.549 Ca
```

***

No. 4
## CaMgZn2 (PBE)

Data for a relaxed structure of CaMgZn2.

Summary:
Space-group type: No. 194
E: -12.13 eV/cell

```
CaMgZn2
1.0
2.005 1.917 4.288
-5.009 0.433 -0.893
-1.224 -6.750 3.590
Ca Mg Zn
2 2 4
Cartesian
-0.306 -1.688 0.897 Ca
-0.918 -5.063 2.692 Ca
-2.977 -0.760 1.732 Mg
-1.251 -3.640 5.253 Mg
-3.388 -3.026 2.937 Zn
-0.438 0.843 2.869 Zn
-0.840 -1.374 4.048 Zn
-3.790 -5.243 4.116 Zn
```

***

No. 5
## CaMg2Zn (PBE)

Data for a relaxed structure of CaMg2Zn.

Summary:
Space-group type: No. 12
E: -6.80 eV/cell

```
CaMg2Zn
1.0
-0.949 5.865 -0.765
-3.507 4.021 -2.723
-3.750 2.089 2.931
Mg Zn Ca
2 1 1
Cartesian
-4.433 9.616 -3.265 Mg
-4.127 6.257 -0.502 Mg
-2.052 2.994 -0.139 Zn
-6.155 8.981 -0.418 Ca
```

***

No. 6
## Ca3Mg3Zn (PBE)

Data for a relaxed structure of Ca3Mg3Zn.

Summary:
Energy above the most stable polymorph in this dataset: 0 meV per atom
Space-group type: No. 11
E: -25.09 eV/cell

```
Ca3Mg3Zn
1.0
-1.671 -2.602 -7.851
5.165 -7.283 5.255
-4.318 -1.936 1.561
Mg Zn Ca
6 2 6
Cartesian
-1.263 -1.500 -1.378 Mg
-1.714 -3.764 -5.435 Mg
1.926 -9.143 -2.036 Mg
0.439 -10.321 0.344 Mg
0.891 -8.057 4.400 Mg
-2.750 -2.677 1.001 Mg
-0.317 -5.020 -3.128 Zn
-0.507 -6.800 2.093 Zn
0.438 -4.225 -0.051 Ca
2.378 -7.697 1.008 Ca
2.068 -5.113 3.355 Ca
-1.262 -7.595 -0.983 Ca
-3.202 -4.124 -2.043 Ca
-2.892 -6.707 -4.389 Ca
```

***

Number 1: E_form -142 meV/atom. Number 2: E_form -128 meV/atom. Number 3: E_form -105 meV/atom. Number 4: E_form 20 meV/atom. Number 5: E_form -83 meV/atom. Number 6: E_form -69 meV/atom.